A plane-wave DFT calculation with PBE-GGA was carried out for crystalline InSiS2Cl at its relaxed geometry.

a = 5.1508 Å, b = 5.1508 Å, c = 4.9429 Å
α = 90.00°, β = 90.00°, γ = 90.00°
With the nearest neighbours (Å) after each atom.
Space group P4/mmm (No. 123)
Asymmetric unit:
In (0.0000, 0.0000, 0.0000)  2 Cl 2.47, 4 S 2.58
Si (0.5000, 0.5000, 0.5000)  8 S 3.57, 4 Cl 3.64
S (0.0000, 0.5000, 0.0000)  2 In 2.58
Cl (0.0000, 0.0000, 0.5000)  2 In 2.47

Output
- Magnetization: 0.00 μB/cell
- Electronic total energy: -3.301 eV per atom
- Energy relative to the elements, uncorrected: 351 meV/atom